Entry 1:
TaMnOs2 (PBE-GGA, optimized geometry); ΔE_f = 0.5 eV/f.u.
1.0
3.1493 0.0000 0.0000
0.0000 3.1493 0.0000
0.0000 0.0000 5.9861
Mn Os Ta
1 2 1
direct
0.5000 0.5000 0.7633
0.0000 0.0000 0.9715
0.5000 0.5000 0.2544
0.0000 0.0000 0.5109


Entry 2:
LaHfRe2 (PBE-GGA, optimized geometry); relative energy among the computed polymorphs = 0.00 eV per formula unit; ΔE_f = 1.3 eV/f.u.
1.0
0.0000 3.4009 3.4009
3.4009 0.0000 3.4009
3.4009 3.4009 0.0000
Hf Re La
1 2 1
direct
0.5000 0.5000 0.5000
0.7500 0.7500 0.7500
0.2500 0.2500 0.2500
0.0000 0.0000 0.0000


Entry 3:
Tm3Sc4Se8 (PBE-GGA, optimized geometry); uncorrected formation energy = -25.7 eV/f.u.
1.0
-3.3591 -2.4019 6.6637
-1.4048 -3.8495 -6.7124
7.7315 -0.9659 -1.0675
Sc Se Tm
4 8 3
direct
0.5000 0.0000 0.0000
0.0000 0.0000 0.5000
0.0000 0.0000 0.0000
0.0000 0.5000 0.0000
0.5000 0.2467 0.7533
0.0064 0.7531 0.7531
0.0000 0.7498 0.2502
0.0000 0.2502 0.7498
0.5000 0.7533 0.2467
0.9936 0.2469 0.2469
0.5010 0.2474 0.2474
0.4990 0.7526 0.7526
0.5000 0.0000 0.5000
0.5000 0.5000 0.5000
0.5000 0.5000 0.0000


Entry 4:
Sr2Au2O (PBE-GGA, optimized geometry); relative energy among the computed polymorphs = 0.04 eV per formula unit; uncorrected formation energy = -4.8 eV/f.u.
1.0
-3.4638 0.3890 -1.4060
-1.4405 -1.4837 3.1384
-2.9660 7.1118 4.2513
O Sr Au
1 2 2
direct
0.0000 0.0000 0.0000
0.5939 0.5939 0.8121
0.4061 0.4061 0.1879
0.7500 0.2500 0.5000
0.2500 0.7500 0.5000


Entry 5:
PrErTh (PBE-GGA, optimized geometry); relative energy among the computed polymorphs = 0.00 eV per formula unit; ΔE_f = 0.1 eV/f.u.
1.0
3.5939 -0.0157 -0.0252
-1.7833 3.1203 0.0252
-1.6607 -1.1117 17.6918
Pr Er Th
2 2 2
direct
0.3944 0.6950 0.0894
0.6056 0.3050 0.9106
0.8397 0.4177 0.2573
0.1603 0.5823 0.7427
0.7200 0.8606 0.5806
0.2800 0.1394 0.4194


Entry 6:
Sr6Te3As2Br (PBE-GGA, optimized geometry); uncorrected formation energy = -18.1 eV/f.u.
1.0
-2.5725 3.0269 2.2173
-7.5952 -2.9897 -4.7304
1.4080 -7.4463 7.1315
Sr As Br Te
6 2 1 3
direct
0.9915 0.7400 0.9830
0.3275 0.9004 0.6550
0.0085 0.2600 0.0170
0.3280 0.4246 0.6559
0.6725 0.0996 0.3450
0.6720 0.5754 0.3441
0.8346 0.6705 0.6691
0.1654 0.3295 0.3309
0.5000 0.0000 0.0000
0.1597 0.8359 0.3195
0.5000 0.5000 0.0000
0.8403 0.1641 0.6805


Entry 7:
Co2RuCl (PBE-GGA, optimized geometry); relative energy among the computed polymorphs = 0.08 eV per formula unit; uncorrected formation energy = 1.5 eV/f.u.
1.0
2.7893 0.0000 0.0000
0.0000 3.0545 0.0036
0.0000 -0.0098 6.7444
Cl Co Ru
1 2 1
direct
0.5000 0.7505 0.7615
0.5000 0.2498 0.2413
0.0000 0.7498 0.0477
0.0000 0.7499 0.4495


Entry 8:
La2HgB3Pt12 (PBE-GGA, optimized geometry); ΔE_f = -6.4 eV/f.u.
1.0
7.5076 -0.2759 -0.1957
3.4678 6.6645 -0.1957
3.4678 2.0185 6.3545
Pt La B Hg
12 2 3 1
direct
0.8696 0.8696 0.4013
0.5987 0.1304 0.1304
0.6775 0.6775 0.0886
0.1304 0.5987 0.1304
0.1304 0.1304 0.5987
0.9114 0.3225 0.3225
0.3225 0.9114 0.3225
0.3225 0.3225 0.9114
0.0886 0.6775 0.6775
0.6775 0.0886 0.6775
0.8696 0.4013 0.8696
0.4013 0.8696 0.8696
0.6043 0.6043 0.6043
0.3957 0.3957 0.3957
0.0000 0.5000 0.0000
0.0000 0.0000 0.5000
0.5000 0.0000 0.0000
0.0000 0.0000 0.0000